[1]
# MnTc2W | Alexandria | GGA-PBE | optimized geometry
# Fermi-level density of states: 4.222 states/eV per cell
# Space-group type: F-43m (216)
# Formation energy from the elements: 0.163 eV/atom
data_MnTc2W
_chemical_formula_sum 'Mn1 Tc2 W1'
_symmetry_space_group_name_H-M 'P 1'
_symmetry_Int_Tables_number 1
_symmetry_space_group_name_Hall 'P 1'
_cell_length_a 4.348
_cell_length_b 4.348
_cell_length_c 4.348
_cell_angle_alpha 60.00
_cell_angle_beta 60.00
_cell_angle_gamma 60.00
loop_
_atom_site_label
_atom_site_fract_x
_atom_site_fract_y
_atom_site_fract_z
Mn1 0.000 0.000 0.000
Tc1 0.250 0.250 0.250
Tc2 0.500 0.500 0.500
W1 0.750 0.750 0.750

[2]
# MnTcW2 | Alexandria | GGA-PBE | optimized geometry
# Fermi-level density of states: 3.299 states/eV per cell
# Space-group type: P2/m (10)
# Formation energy from the elements: 0.099 eV/atom
# Polymorph energy (0 for the lowest one): 0.0252 eV/atom
data_MnTcW2
_chemical_formula_sum 'Mn1 Tc1 W2'
_symmetry_space_group_name_H-M 'P 1'
_symmetry_Int_Tables_number 1
_symmetry_space_group_name_Hall 'P 1'
_cell_length_a 2.691
_cell_length_b 4.347
_cell_length_c 5.166
_cell_angle_alpha 90.00
_cell_angle_beta 99.88
_cell_angle_gamma 90.00
loop_
_atom_site_label
_atom_site_fract_x
_atom_site_fract_y
_atom_site_fract_z
Mn1 0.000 0.000 0.000
Tc1 0.500 0.000 0.500
W1 0.254 0.500 0.754
W2 0.746 0.500 0.246

[3]
# MnTcW2 | Alexandria | GGA-PBE | optimized geometry
# Fermi-level density of states: 3.932 states/eV per cell
# Space-group type: I-4m2 (119)
# Formation energy from the elements: 0.250 eV/atom
# Polymorph energy (0 for the lowest one): 0.1754 eV/atom
data_MnTcW2
_chemical_formula_sum 'Mn1 Tc1 W2'
_symmetry_space_group_name_H-M 'P 1'
_symmetry_Int_Tables_number 1
_symmetry_space_group_name_Hall 'P 1'
_cell_length_a 4.943
_cell_length_b 4.943
_cell_length_c 4.943
_cell_angle_alpha 134.99
_cell_angle_beta 134.99
_cell_angle_gamma 65.55
loop_
_atom_site_label
_atom_site_fract_x
_atom_site_fract_y
_atom_site_fract_z
Mn1 0.000 0.000 0.000
Tc1 0.250 0.750 0.500
W1 0.500 0.500 0.000
W2 0.750 0.250 0.500

[4]
# MnTc2W | Alexandria | GGA-PBE | optimized geometry
# Fermi-level density of states: 5.189 states/eV per cell
# Space-group type: Pmm2 (25)
# Formation energy from the elements: 0.168 eV/atom
data_MnTc2W
_chemical_formula_sum 'Mn1 Tc2 W1'
_symmetry_space_group_name_H-M 'P 1'
_symmetry_Int_Tables_number 1
_symmetry_space_group_name_Hall 'P 1'
_cell_length_a 2.752
_cell_length_b 3.823
_cell_length_c 5.465
_cell_angle_alpha 90.00
_cell_angle_beta 90.00
_cell_angle_gamma 90.00
loop_
_atom_site_label
_atom_site_fract_x
_atom_site_fract_y
_atom_site_fract_z
Mn1 0.000 0.000 0.000
Tc1 0.000 0.000 0.487
Tc2 0.500 0.500 0.243
W1 0.500 0.500 0.755

[5]
# MnTcW2 | Alexandria | GGA-PBE | optimized geometry
# Fermi-level density of states: 3.830 states/eV per cell
# Space-group type: F-43m (216)
# Formation energy from the elements: 0.100 eV/atom
# Polymorph energy (0 for the lowest one): 0.0257 eV/atom
data_MnTcW2
_chemical_formula_sum 'Mn1 Tc1 W2'
_symmetry_space_group_name_H-M 'P 1'
_symmetry_Int_Tables_number 1
_symmetry_space_group_name_Hall 'P 1'
_cell_length_a 4.390
_cell_length_b 4.390
_cell_length_c 4.390
_cell_angle_alpha 60.00
_cell_angle_beta 60.00
_cell_angle_gamma 60.00
loop_
_atom_site_label
_atom_site_fract_x
_atom_site_fract_y
_atom_site_fract_z
Mn1 0.000 0.000 0.000
Tc1 0.250 0.250 0.250
W1 0.500 0.500 0.500
W2 0.750 0.750 0.750

[6]
# MnTc2W | Alexandria | GGA-PBE | optimized geometry
# Fermi-level density of states: 3.723 states/eV per cell
# Space-group type: Imm2 (44)
# Formation energy from the elements: 0.074 eV/atom
data_MnTc2W
_chemical_formula_sum 'Mn1 Tc2 W1'
_symmetry_space_group_name_H-M 'P 1'
_symmetry_Int_Tables_number 1
_symmetry_space_group_name_Hall 'P 1'
_cell_length_a 5.079
_cell_length_b 5.079
_cell_length_c 5.079
_cell_angle_alpha 144.15
_cell_angle_beta 129.80
_cell_angle_gamma 63.21
loop_
_atom_site_label
_atom_site_fract_x
_atom_site_fract_y
_atom_site_fract_z
Mn1 0.000 0.000 0.000
Tc1 0.253 0.753 0.500
Tc2 0.507 0.507 0.000
W1 0.754 0.254 0.500